Entry 1:
This record from Alexandria describes a relaxed structure of LiNiSb. The functional is PBE.

CIF file:
```
data_LiNiSb
_chemical_formula_sum 'Li2 Ni2 Sb2'
_cell_length_a 7.311
_cell_length_b 4.163
_cell_length_c 4.163
_cell_angle_alpha 60.00
_cell_angle_beta 73.46
_cell_angle_gamma 90.00
_symmetry_space_group_name_H-M 'P 1'
_symmetry_Int_Tables_number 1
loop_
_symmetry_equiv_pos_as_xyz
'x,y,z'
loop_
_atom_site_label
_atom_site_type_symbol
_atom_site_fract_x
_atom_site_fract_y
_atom_site_fract_z
Sb1 Sb 0.547 0.564 0.808
Sb2 Sb 0.052 0.065 0.806
Li1 Li 0.800 0.315 0.307
Li2 Li 0.300 0.814 0.307
Ni1 Ni 0.686 0.944 0.048
Ni2 Ni 0.913 0.685 0.565
```

The space group is R-3m (166). The energy relative to the elements, uncorrected comes out at -0.40 eV per atom.

Entry 2:
This record from Alexandria describes a relaxed structure of Li2NiSb. The functional is PBE.

CIF file:
```
data_Li2NiSb
_chemical_formula_sum 'Li2 Ni1 Sb1'
_cell_length_a 6.001
_cell_length_b 4.788
_cell_length_c 3.101
_cell_angle_alpha 89.97
_cell_angle_beta 58.94
_cell_angle_gamma 117.36
_symmetry_space_group_name_H-M 'P 1'
_symmetry_Int_Tables_number 1
loop_
_symmetry_equiv_pos_as_xyz
'x,y,z'
loop_
_atom_site_label
_atom_site_type_symbol
_atom_site_fract_x
_atom_site_fract_y
_atom_site_fract_z
Li1 Li 0.500 0.000 0.500
Li2 Li 0.000 0.000 0.000
Ni1 Ni 0.000 0.500 0.500
Sb1 Sb 0.500 0.500 0.000
```

The space group is Cmmm (65). The energy relative to the elements, uncorrected comes out at -0.16 eV per atom.

Entry 3:
This record from Alexandria describes a relaxed structure of Li2NiSb. The functional is PBE.

CIF file:
```
data_Li2NiSb
_chemical_formula_sum 'Li2 Ni1 Sb1'
_cell_length_a 3.796
_cell_length_b 3.796
_cell_length_c 4.260
_cell_angle_alpha 90.00
_cell_angle_beta 90.00
_cell_angle_gamma 90.03
_symmetry_space_group_name_H-M 'P 1'
_symmetry_Int_Tables_number 1
loop_
_symmetry_equiv_pos_as_xyz
'x,y,z'
loop_
_atom_site_label
_atom_site_type_symbol
_atom_site_fract_x
_atom_site_fract_y
_atom_site_fract_z
Sb1 Sb 0.000 0.500 0.500
Li1 Li 0.500 0.500 0.000
Li2 Li 0.000 0.000 0.000
Ni1 Ni 0.500 0.000 0.500
```

The space group is P4/mmm (123). The energy relative to the elements, uncorrected comes out at -0.31 eV per atom.

Entry 4:
This record from Alexandria describes a relaxed structure of Li2NiSb. The functional is PBE.

CIF file:
```
data_Li2NiSb
_chemical_formula_sum 'Li2 Ni1 Sb1'
_cell_length_a 5.010
_cell_length_b 5.010
_cell_length_c 3.918
_cell_angle_alpha 66.97
_cell_angle_beta 66.97
_cell_angle_gamma 43.16
_symmetry_space_group_name_H-M 'P 1'
_symmetry_Int_Tables_number 1
loop_
_symmetry_equiv_pos_as_xyz
'x,y,z'
loop_
_atom_site_label
_atom_site_type_symbol
_atom_site_fract_x
_atom_site_fract_y
_atom_site_fract_z
Li1 Li 0.495 0.495 0.505
Li2 Li 0.005 0.005 0.995
Ni1 Ni 0.750 0.750 0.750
Sb1 Sb 0.250 0.250 0.250
```

The space group is Immm (71). The energy relative to the elements, uncorrected comes out at -0.31 eV per atom.

Entry 5:
This record from Alexandria describes a relaxed structure of Li3Ni4Sb2. The functional is PBE.

CIF file:
```
data_Li3Ni4Sb2
_chemical_formula_sum 'Li3 Ni4 Sb2'
_cell_length_a 4.215
_cell_length_b 4.211
_cell_length_c 7.929
_cell_angle_alpha 90.07
_cell_angle_beta 90.00
_cell_angle_gamma 59.97
_symmetry_space_group_name_H-M 'P 1'
_symmetry_Int_Tables_number 1
loop_
_symmetry_equiv_pos_as_xyz
'x,y,z'
loop_
_atom_site_label
_atom_site_type_symbol
_atom_site_fract_x
_atom_site_fract_y
_atom_site_fract_z
Ni1 Ni 0.000 0.001 0.667
Ni2 Ni 0.334 0.333 0.103
Ni3 Ni 0.666 0.667 0.897
Ni4 Ni 0.000 0.999 0.333
Sb1 Sb 0.667 0.666 0.221
Sb2 Sb 0.333 0.334 0.779
Li1 Li 0.333 0.333 0.435
Li2 Li 0.667 0.667 0.565
Li3 Li 0.000 0.000 0.000
```

The space group is C2/m (12). The energy relative to the elements, uncorrected comes out at -0.29 eV per atom.

Entry 6:
This record from Alexandria describes a relaxed structure of Li2NiSb. The functional is PBE.

CIF file:
```
data_Li2NiSb
_chemical_formula_sum 'Li2 Ni1 Sb1'
_cell_length_a 4.126
_cell_length_b 3.023
_cell_length_c 5.956
_cell_angle_alpha 59.80
_cell_angle_beta 90.00
_cell_angle_gamma 90.00
_symmetry_space_group_name_H-M 'P 1'
_symmetry_Int_Tables_number 1
loop_
_symmetry_equiv_pos_as_xyz
'x,y,z'
loop_
_atom_site_label
_atom_site_type_symbol
_atom_site_fract_x
_atom_site_fract_y
_atom_site_fract_z
Li1 Li 0.000 0.987 0.015
Li2 Li 0.000 0.513 0.485
Sb1 Sb 0.500 0.750 0.750
Ni1 Ni 0.500 0.250 0.250
```

The space group is P2/m (10). The energy relative to the elements, uncorrected comes out at -0.17 eV per atom.

Entry 7:
This record from Alexandria describes a relaxed structure of Li2NiSb. The functional is PBE.

CIF file:
```
data_Li2NiSb
_chemical_formula_sum 'Li2 Ni1 Sb1'
_cell_length_a 4.084
_cell_length_b 2.995
_cell_length_c 5.497
_cell_angle_alpha 73.96
_cell_angle_beta 90.00
_cell_angle_gamma 90.00
_symmetry_space_group_name_H-M 'P 1'
_symmetry_Int_Tables_number 1
loop_
_symmetry_equiv_pos_as_xyz
'x,y,z'
loop_
_atom_site_label
_atom_site_type_symbol
_atom_site_fract_x
_atom_site_fract_y
_atom_site_fract_z
Li1 Li 0.000 0.044 0.025
Li2 Li 0.500 0.429 0.249
Sb1 Sb 0.500 0.713 0.705
Ni1 Ni 0.000 0.314 0.521
```

The space group is Pm (6). The energy relative to the elements, uncorrected comes out at -0.17 eV per atom.

Entry 8:
This record from Alexandria describes a relaxed structure of LiScNiSb. The functional is PBE.

CIF file:
```
data_LiScNiSb
_chemical_formula_sum 'Li1 Sc1 Ni1 Sb1'
_cell_length_a 4.490
_cell_length_b 4.490
_cell_length_c 4.490
_cell_angle_alpha 60.00
_cell_angle_beta 60.00
_cell_angle_gamma 60.00
_symmetry_space_group_name_H-M 'P 1'
_symmetry_Int_Tables_number 1
loop_
_symmetry_equiv_pos_as_xyz
'x,y,z'
loop_
_atom_site_label
_atom_site_type_symbol
_atom_site_fract_x
_atom_site_fract_y
_atom_site_fract_z
Li1 Li 0.750 0.750 0.750
Sb1 Sb 0.000 0.000 0.000
Sc1 Sc 0.500 0.500 0.500
Ni1 Ni 0.250 0.250 0.250
```

The space group is F-43m (216). The energy relative to the elements, uncorrected comes out at -0.51 eV per atom.

Repeat the first record exactly.
This record from Alexandria describes a relaxed structure of LiNiSb. The functional is PBE.

CIF file:
```
data_LiNiSb
_chemical_formula_sum 'Li2 Ni2 Sb2'
_cell_length_a 7.311
_cell_length_b 4.163
_cell_length_c 4.163
_cell_angle_alpha 60.00
_cell_angle_beta 73.46
_cell_angle_gamma 90.00
_symmetry_space_group_name_H-M 'P 1'
_symmetry_Int_Tables_number 1
loop_
_symmetry_equiv_pos_as_xyz
'x,y,z'
loop_
_atom_site_label
_atom_site_type_symbol
_atom_site_fract_x
_atom_site_fract_y
_atom_site_fract_z
Sb1 Sb 0.547 0.564 0.808
Sb2 Sb 0.052 0.065 0.806
Li1 Li 0.800 0.315 0.307
Li2 Li 0.300 0.814 0.307
Ni1 Ni 0.686 0.944 0.048
Ni2 Ni 0.913 0.685 0.565
```

The space group is R-3m (166). The energy relative to the elements, uncorrected comes out at -0.40 eV per atom.

Question: Which of these has the lowest energy relative to the elements, uncorrected?
Answer: LiScNiSb